Material: LaHo2In
Method: DFT, PBE-GGA
State: relaxed

Calculated values
Energy of formation, eV per atom: -0.2508
Volume, Å³/atom: 29.67
Distance to the lowest polymorph of the same formula, meV/atom: 0

Cell lengths 4.8575, 4.9433, 4.9433 Å; angles 90.00, 90.00, 90.00 degrees
Fractional positions:
In 0.5000 0.0000 0.0000
Ho 0.0000 0.0000 0.5000
Ho 0.0000 0.5000 0.0000
La 0.5000 0.5000 0.5000